Run A
Density functional theory data (PBE) for a geometry-optimized Pm3ErTm6 structure.

DOS(E_F) in states/eV per cell: 19.60

Unit cell a=9.796 b=9.796 c=6.840 alpha=44.27 beta=44.27 gamma=60.00
Element x y z (fractional)
Pm1 0.100 0.100 0.701
Tm1 0.432 0.772 0.699
Tm2 0.772 0.097 0.699
Er1 0.849 0.849 0.452
Tm3 0.929 0.605 0.198
Pm2 0.349 0.349 0.953
Tm4 0.269 0.929 0.198
Pm3 0.599 0.599 0.203
Tm5 0.097 0.432 0.699
Tm6 0.605 0.269 0.198

Run B
Density functional theory data (PBE) for a geometry-optimized Pm3ErTm6 structure.

DOS(E_F) in states/eV per cell: 29.19

Unit cell a=6.188 b=10.904 c=10.904 alpha=119.63 beta=90.00 gamma=90.00
Element x y z (fractional)
Tm1 0.036 0.384 0.288
Tm2 0.036 0.712 0.616
Tm3 0.536 0.616 0.712
Tm4 0.367 0.040 0.462
Tm5 0.413 0.954 0.046
Tm6 0.867 0.960 0.538
Tm7 0.639 0.281 0.719
Pm1 0.960 0.718 0.938
Tm8 0.139 0.719 0.281
Tm9 0.367 0.538 0.960
Pm2 0.460 0.938 0.718
Pm3 0.565 0.608 0.392
Er1 0.643 0.794 0.206
Tm10 0.867 0.462 0.040
Pm4 0.065 0.392 0.608
Pm5 0.960 0.062 0.282
Tm11 0.913 0.046 0.954
Er2 0.143 0.206 0.794
Tm12 0.536 0.288 0.384
Pm6 0.460 0.282 0.062

The structure with the most favorable energy is run B; the runner-up is 14.1 kJ/mol of atoms above it.

Run A
Density functional theory data (PBE) for a geometry-optimized Pm3Er2Tm8 structure.

DOS(E_F) in states/eV per cell: 15.90

Unit cell a=6.875 b=9.396 c=9.396 alpha=57.63 beta=61.20 gamma=61.20
Element x y z (fractional)
Tm1 0.013 0.193 0.193
Tm2 0.441 0.438 0.799
Tm3 0.934 0.417 0.417
Tm4 0.559 0.201 0.562
Pm1 0.000 0.177 0.823
Er1 0.492 0.216 0.216
Tm5 0.987 0.807 0.807
Tm6 0.559 0.562 0.201
Tm7 0.066 0.583 0.583
Pm2 0.500 0.000 0.000
Er2 0.508 0.784 0.784
Tm8 0.441 0.799 0.438
Pm3 0.000 0.823 0.177

Run B
Density functional theory data (PBE) for a geometry-optimized Pm3Er2Tm8 structure.

DOS(E_F) in states/eV per cell: 17.58

Unit cell a=6.098 b=9.345 c=9.335 alpha=130.03 beta=96.20 gamma=90.14
Element x y z (fractional)
Er1 0.578 0.153 0.461
Tm1 0.961 0.922 0.766
Tm2 0.039 0.078 0.234
Tm3 0.116 0.229 0.691
Tm4 0.653 0.307 0.921
Pm1 0.500 0.000 0.000
Er2 0.422 0.847 0.539
Tm5 0.730 0.463 0.387
Tm6 0.347 0.693 0.079
Tm7 0.270 0.537 0.613
Pm2 0.191 0.386 0.154
Tm8 0.884 0.771 0.309
Pm3 0.809 0.614 0.846

The structure with the most favorable energy is run B; the runner-up is 21.0 kJ/mol of atoms above it.

Run A
Density functional theory data (PBE) for a geometry-optimized Pm2ErTm2 structure.

DOS(E_F) in states/eV per cell: 6.64

Unit cell a=3.561 b=3.561 c=14.903 alpha=96.83 beta=83.14 gamma=60.00
Element x y z (fractional)
Tm1 0.639 0.027 0.695
Er1 0.500 0.500 0.500
Tm2 0.361 0.973 0.305
Pm1 0.773 0.560 0.895
Pm2 0.227 0.440 0.105

Run B
Density functional theory data (PBE) for a geometry-optimized Pm2ErTm2 structure.

DOS(E_F) in states/eV per cell: 13.60

Unit cell a=5.026 b=6.150 c=12.819 alpha=108.55 beta=78.70 gamma=65.88
Element x y z (fractional)
Er1 0.697 0.753 0.853
Er2 0.303 0.247 0.147
Pm1 0.498 0.251 0.754
Tm1 0.099 0.751 0.050
Pm2 0.098 0.253 0.552
Pm3 0.902 0.747 0.448
Tm2 0.299 0.750 0.653
Tm3 0.701 0.250 0.347
Pm4 0.502 0.749 0.246
Tm4 0.901 0.249 0.950

The structure with the most favorable energy is run B; the runner-up is 0.7 kJ/mol of atoms above it.